Here is a geometry-optimized ZrFeSbRu structure from the Alexandria database. Energies are from PBE.

Its density of states at the Fermi level is 2.57 states/eV/f.u. The calculation puts the energy relative to the elements, uncorrected at -0.30 eV/atom. The total energy comes out at -7.90 eV per atom.

Lattice parameters (Å, degrees): 6.395 6.395 6.395 90.00 90.00 90.00
Space group F-43m (No. 216)
Asymmetric unit:
Zr  0.000  0.000  0.000
Fe  0.250  0.250  0.750
Sb  0.000  0.000  0.500
Ru  0.250  0.250  0.250